BaZnCo2F: optimized geometry, GGA+U.

```
5
Lattice="6.2025 0.0000 0.0000 0.0000 6.2025 0.0000 0.0000 0.0000 4.8276" Properties=species:S:1:pos:R:3 pbc="T T T"
Ba 0.0000 0.0000 0.0000
Zn 3.1013 3.1013 2.4138
Co 0.0000 3.1013 0.0000
Co 3.1013 0.0000 0.0000
F 0.0000 0.0000 2.4138
```

Properties
Final energy   -2.71 eV/atom
Space-group type   P4/mmm, No. 123